[1]
The following is a PBE calculation of a geometry-optimized CdGe2MoP structure, from the Alexandria database.

abc: 5.051 4.930 5.051
angles: 90.00 90.00 90.00
Positions (direct):
P 0.000 0.500 0.000
Mo 0.500 0.500 0.500
Ge 0.500 0.000 0.000
Ge 0.000 0.000 0.500
Cd 0.000 0.000 0.000

Summary:
E   -18.69 eV/cell
Magnetic moment   0.72 μB per atom
ΔE_f   743 kJ/mol of formula units
Mass density   5.078 g cm⁻³

***

[2]
The following is a PBE calculation of a geometry-optimized CdGeMo2P structure, from the Alexandria database.

abc: 5.170 4.605 5.170
angles: 90.00 90.00 90.00
Positions (direct):
Cd 0.000 0.000 0.000
Mo 0.500 0.000 0.000
Mo 0.000 0.000 0.500
Ge 0.500 0.500 0.500
P 0.000 0.500 0.000

Summary:
E   -21.86 eV/cell
Magnetic moment   1.13 μB per atom
Polymorph energy (0 for the lowest one)   703 meV per atom
ΔE_f   1037 kJ/mol of formula units
Mass density   5.502 g cm⁻³

***

[3]
The following is a PBE calculation of a geometry-optimized CdGeMo2Rh structure, from the Alexandria database.

abc: 4.989 4.989 4.647
angles: 90.00 90.00 90.00
Positions (direct):
Rh 0.500 0.500 0.500
Mo 0.500 0.000 0.000
Mo 0.000 0.500 0.000
Ge 0.000 0.000 0.500
Cd 0.000 0.000 0.000

Summary:
E   -22.89 eV/cell
Magnetic moment   0.91 μB per atom
ΔE_f   1125 kJ/mol of formula units
Mass density   6.888 g cm⁻³

***

[4]
The following is a PBE calculation of a geometry-optimized CdGe2SbMo structure, from the Alexandria database.

abc: 4.934 5.279 4.934
angles: 90.00 90.00 90.00
Positions (direct):
Ge 0.500 0.000 0.000
Ge 0.000 0.000 0.500
Sb 0.000 0.500 0.000
Mo 0.000 0.000 0.000
Cd 0.500 0.500 0.500

Summary:
E   -23.44 eV/cell
Magnetic moment   0.00 μB per atom
Mass density   6.142 g cm⁻³
Formation energy (no corrections)   0.3318 eV per atom

***

[5]
The following is a PBE calculation of a geometry-optimized Cd2GeMoW structure, from the Alexandria database.

abc: 5.198 4.755 5.198
angles: 90.00 90.00 90.00
Positions (direct):
Mo 0.000 0.000 0.000
W 0.500 0.500 0.500
Ge 0.000 0.500 0.000
Cd 0.000 0.000 0.500
Cd 0.500 0.000 0.000

Summary:
E   -21.32 eV/cell
Magnetic moment   0.71 μB per atom
ΔE_f   860 kJ/mol of formula units
Mass density   7.461 g cm⁻³

***

[6]
The following is a PBE calculation of a geometry-optimized ZrCd2GeMo structure, from the Alexandria database.

abc: 5.130 5.130 4.731
angles: 90.00 90.00 90.00
Positions (direct):
Ge 0.000 0.000 0.500
Cd 0.000 0.500 0.000
Cd 0.500 0.000 0.000
Zr 0.500 0.500 0.500
Mo 0.000 0.000 0.000

Summary:
E   -21.48 eV/cell
Magnetic moment   0.00 μB per atom
ΔE_f   420 kJ/mol of formula units
Mass density   6.463 g cm⁻³

***

[7]
The following is a PBE calculation of a geometry-optimized CdGeN2 structure, from the Alexandria database.

abc: 5.488 5.688 6.961
angles: 90.00 90.00 90.00
Positions (direct):
Cd 0.997 0.080 0.624
Cd 0.497 0.420 0.124
Cd 0.497 0.920 0.376
Cd 0.997 0.580 0.876
Ge 0.000 0.066 0.125
Ge 0.500 0.934 0.875
Ge 0.500 0.434 0.625
Ge 0.000 0.566 0.375
N 0.341 0.048 0.093
N 0.412 0.115 0.657
N 0.841 0.452 0.593
N 0.841 0.952 0.907
N 0.412 0.615 0.843
N 0.912 0.385 0.157
N 0.912 0.885 0.343
N 0.341 0.548 0.407

Summary:
E   -88.25 eV/cell
Magnetic moment   0.00 μB per atom
Mass density   6.513 g cm⁻³
Formation energy (no corrections)   0.0305 eV per atom

***

[8]
The following is a PBE calculation of a geometry-optimized CdGeN3 structure, from the Alexandria database.

abc: 3.869 3.869 3.869
angles: 90.00 90.00 90.00
Positions (direct):
Cd 0.500 0.500 0.500
Ge 0.000 0.000 0.000
N 0.000 0.500 0.000
N 0.000 0.000 0.500
N 0.500 0.000 0.000

Summary:
E   -23.65 eV/cell
Magnetic moment   0.57 μB per atom
Mass density   6.510 g cm⁻³
Formation energy (no corrections)   1.3715 eV per atom

***

[9]
The following is a PBE calculation of a geometry-optimized CdGeN2 structure, from the Alexandria database.

abc: 6.417 6.417 6.417
angles: 28.01 28.01 28.01
Positions (direct):
N 0.888 0.888 0.888
N 0.112 0.112 0.112
Cd 0.000 0.000 0.000
Ge 0.500 0.500 0.500

Summary:
E   -20.44 eV/cell
Magnetic moment   0.00 μB per atom
Mass density   6.875 g cm⁻³
Formation energy (no corrections)   0.4369 eV per atom

***

[10]
The following is a PBE calculation of a geometry-optimized Cd5Ge2N6 structure, from the Alexandria database.

abc: 5.679 5.679 14.261
angles: 89.10 89.10 65.87
Positions (direct):
N 0.086 0.994 0.609
N 0.742 0.607 0.009
N 0.393 0.258 0.491
N 0.258 0.393 0.991
N 0.051 0.538 0.204
N 0.462 0.949 0.296
N 0.607 0.742 0.509
N 0.914 0.006 0.391
N 0.994 0.086 0.109
N 0.949 0.462 0.796
N 0.006 0.914 0.891
N 0.538 0.051 0.704
Cd 0.966 0.747 0.697
Cd 0.676 0.324 0.750
Cd 0.804 0.314 0.520
Cd 0.314 0.804 0.020
Cd 0.747 0.966 0.197
Cd 0.686 0.196 0.980
Cd 0.324 0.676 0.250
Cd 0.196 0.686 0.480
Cd 0.253 0.034 0.803
Cd 0.034 0.253 0.303
Ge 0.602 0.976 0.411
Ge 0.024 0.398 0.089
Ge 0.398 0.024 0.589
Ge 0.976 0.602 0.911

Summary:
E   -117.83 eV/cell
Magnetic moment   0.00 μB per atom
Mass density   6.263 g cm⁻³
Formation energy (no corrections)   0.3730 eV per atom

***

[11]
The following is a PBE calculation of a geometry-optimized CdGeN2 structure, from the Alexandria database.

abc: 4.127 4.127 4.127
angles: 60.00 60.00 60.00
Positions (direct):
N 0.750 0.750 0.750
N 0.250 0.250 0.250
Ge 0.000 0.000 0.000
Cd 0.500 0.500 0.500

Summary:
E   -16.23 eV/cell
Magnetic moment   0.32 μB per atom
Mass density   7.120 g cm⁻³
Formation energy (no corrections)   1.4892 eV per atom

***

[12]
The following is a PBE calculation of a geometry-optimized CdGeN2 structure, from the Alexandria database.

abc: 5.530 11.088 14.283
angles: 90.00 90.00 90.00
Positions (direct):
N 0.365 0.976 0.208
N 0.873 0.727 0.954
N 0.135 0.024 0.708
N 0.865 0.524 0.792
N 0.373 0.773 0.046
N 0.810 0.808 0.668
N 0.190 0.308 0.832
N 0.627 0.273 0.454
N 0.873 0.773 0.454
N 0.127 0.227 0.546
N 0.810 0.692 0.168
N 0.635 0.024 0.792
N 0.190 0.192 0.332
N 0.127 0.273 0.046
N 0.801 0.559 0.581
N 0.135 0.476 0.208
N 0.699 0.441 0.081
N 0.310 0.692 0.332
N 0.865 0.976 0.292
N 0.199 0.059 0.919
N 0.635 0.476 0.292
N 0.690 0.192 0.168
N 0.373 0.727 0.546
N 0.690 0.308 0.668
N 0.301 0.559 0.919
N 0.699 0.059 0.581
N 0.627 0.227 0.954
N 0.365 0.524 0.708
N 0.301 0.941 0.419
N 0.199 0.441 0.419
N 0.310 0.808 0.832
N 0.801 0.941 0.081
Ge 0.789 0.279 0.061
Ge 0.313 0.523 0.313
Ge 0.687 0.023 0.187
Ge 0.187 0.477 0.813
Ge 0.813 0.977 0.687
Ge 0.313 0.977 0.813
Ge 0.789 0.221 0.561
Ge 0.289 0.221 0.939
Ge 0.187 0.023 0.313
Ge 0.289 0.279 0.439
Ge 0.211 0.779 0.439
Ge 0.711 0.721 0.561
Ge 0.813 0.523 0.187
Ge 0.211 0.721 0.939
Ge 0.711 0.779 0.061
Ge 0.687 0.477 0.687
Cd 0.794 0.259 0.311
Cd 0.794 0.241 0.811
Cd 0.206 0.759 0.189
Cd 0.706 0.759 0.311
Cd 0.294 0.259 0.189
Cd 0.777 0.026 0.939
Cd 0.723 0.526 0.939
Cd 0.294 0.241 0.689
Cd 0.277 0.474 0.061
Cd 0.723 0.974 0.439
Cd 0.277 0.026 0.561
Cd 0.223 0.974 0.061
Cd 0.206 0.741 0.689
Cd 0.223 0.526 0.561
Cd 0.706 0.741 0.811
Cd 0.777 0.474 0.439

Summary:
E   -348.90 eV/cell
Magnetic moment   0.00 μB per atom
Mass density   6.464 g cm⁻³
Formation energy (no corrections)   0.0943 eV per atom

***

[13]
The following is a PBE calculation of a geometry-optimized CdGe2N structure, from the Alexandria database.

abc: 4.599 4.599 4.599
angles: 60.00 60.00 60.00
Positions (direct):
Ge 0.750 0.750 0.750
Ge 0.250 0.250 0.250
N 0.000 0.000 0.000
Cd 0.500 0.500 0.500

Summary:
E   -13.71 eV/cell
Magnetic moment   0.00 μB per atom
Polymorph energy (0 for the lowest one)   763 meV per atom
Mass density   6.559 g cm⁻³
Formation energy (no corrections)   1.1902 eV per atom

***

[14]
The following is a PBE calculation of a geometry-optimized CdGeN3 structure, from the Alexandria database.

abc: 4.216 4.216 4.216
angles: 90.00 90.00 90.00
Positions (direct):
N 0.000 0.500 0.000
N 0.500 0.000 0.000
N 0.000 0.000 0.500
Ge 0.500 0.500 0.500
Cd 0.000 0.000 0.000

Summary:
E   -18.80 eV/cell
Magnetic moment   0.72 μB per atom
Mass density   5.031 g cm⁻³
Formation energy (no corrections)   2.3425 eV per atom

***

[15]
The following is a PBE calculation of a geometry-optimized CdGeN2 structure, from the Alexandria database.

abc: 6.068 6.068 6.068
angles: 35.58 35.58 35.58
Positions (direct):
Ge 0.000 0.000 0.000
Cd 0.500 0.500 0.500
N 0.900 0.900 0.900
N 0.100 0.100 0.100

Summary:
E   -19.07 eV/cell
Magnetic moment   0.00 μB per atom
Mass density   5.234 g cm⁻³
Formation energy (no corrections)   0.7785 eV per atom

***

[16]
The following is a PBE calculation of a geometry-optimized CdGe2N structure, from the Alexandria database.

abc: 5.728 5.728 6.245
angles: 62.70 62.70 90.00
Positions (direct):
Ge 0.875 0.786 0.750
Ge 0.536 0.125 0.250
Ge 0.214 0.625 0.250
Ge 0.375 0.464 0.750
N 0.500 0.500 0.000
N 0.250 0.750 0.500
Cd 0.000 0.000 0.000
Cd 0.750 0.250 0.500

Summary:
E   -33.53 eV/cell
Magnetic moment   0.00 μB per atom
Polymorph energy (0 for the lowest one)   0 meV per atom
Mass density   5.785 g cm⁻³
Formation energy (no corrections)   0.4275 eV per atom

***

[17]
The following is a PBE calculation of a geometry-optimized CdGeN2 structure, from the Alexandria database.

abc: 4.963 4.963 5.619
angles: 63.79 63.79 90.00
Positions (direct):
N 0.875 0.807 0.750
N 0.557 0.125 0.250
N 0.375 0.443 0.750
N 0.193 0.625 0.250
Ge 0.250 0.750 0.500
Ge 0.500 0.500 0.000
Cd 0.750 0.250 0.500
Cd 0.000 0.000 0.000

Summary:
E   -43.82 eV/cell
Magnetic moment   0.00 μB per atom
Mass density   6.545 g cm⁻³
Formation energy (no corrections)   0.0678 eV per atom

***

[18]
The following is a PBE calculation of a geometry-optimized CdGeOsN2 structure, from the Alexandria database.

abc: 3.895 5.111 3.895
angles: 90.00 90.00 90.00
Positions (direct):
Os 0.000 0.500 0.000
Ge 0.000 0.000 0.000
Cd 0.500 0.500 0.500
N 0.500 0.000 0.000
N 0.000 0.000 0.500

Summary:
E   -24.55 eV/cell
Magnetic moment   0.73 μB per atom
Mass density   8.638 g cm⁻³
Formation energy (no corrections)   1.7718 eV per atom

***

[19]
The following is a PBE calculation of a geometry-optimized CdGePN2 structure, from the Alexandria database.

abc: 3.821 5.281 3.821
angles: 90.00 90.00 90.00
Positions (direct):
Cd 0.500 0.500 0.500
P 0.000 0.500 0.000
Ge 0.000 0.000 0.000
N 0.000 0.000 0.500
N 0.500 0.000 0.000

Summary:
E   -21.63 eV/cell
Magnetic moment   0.36 μB per atom
Mass density   5.256 g cm⁻³
Formation energy (no corrections)   1.1920 eV per atom

***

[20]
The following is a PBE calculation of a geometry-optimized PaCdGeN structure, from the Alexandria database.

abc: 4.050 4.050 8.936
angles: 90.00 90.00 90.00
Positions (direct):
N 0.000 0.000 0.000
N 0.500 0.500 0.000
Cd 0.500 0.500 0.500
Cd 0.000 0.000 0.500
Pa 0.000 0.500 0.871
Pa 0.500 0.000 0.129
Ge 0.500 0.000 0.718
Ge 0.000 0.500 0.282

Summary:
E   -53.45 eV/cell
Magnetic moment   0.00 μB per atom
Mass density   9.743 g cm⁻³
Formation energy (no corrections)   -0.8432 eV per atom

***

[21]
The following is a PBE calculation of a geometry-optimized Cd2GePdN structure, from the Alexandria database.

abc: 5.257 4.644 5.257
angles: 90.00 90.00 90.00
Positions (direct):
Cd 0.500 0.000 0.000
Cd 0.000 0.000 0.500
N 0.500 0.500 0.500
Pd 0.000 0.000 0.000
Ge 0.000 0.500 0.000

Summary:
E   -15.18 eV/cell
Magnetic moment   0.49 μB per atom
Mass density   5.407 g cm⁻³
Formation energy (no corrections)   0.9569 eV per atom

***

[22]
The following is a PBE calculation of a geometry-optimized CdGeS2N structure, from the Alexandria database.

abc: 4.906 4.906 3.681
angles: 90.00 90.00 90.00
Positions (direct):
S 0.000 0.500 0.000
S 0.500 0.000 0.000
N 0.000 0.000 0.500
Ge 0.000 0.000 0.000
Cd 0.500 0.500 0.500

Summary:
E   -19.44 eV/cell
Magnetic moment   0.26 μB per atom
Polymorph energy (0 for the lowest one)   0 meV per atom
Mass density   4.933 g cm⁻³
Formation energy (no corrections)   0.5348 eV per atom

***

[23]
The following is a PBE calculation of a geometry-optimized CdGeS2N structure, from the Alexandria database.

abc: 5.086 5.086 4.163
angles: 90.00 90.00 90.00
Positions (direct):
S 0.500 0.000 0.000
S 0.000 0.500 0.000
N 0.000 0.000 0.500
Ge 0.500 0.500 0.500
Cd 0.000 0.000 0.000

Summary:
E   -16.65 eV/cell
Magnetic moment   0.40 μB per atom
Polymorph energy (0 for the lowest one)   558 meV per atom
Mass density   4.058 g cm⁻³
Formation energy (no corrections)   1.0926 eV per atom